# 1
PmH3O3 | PBE | relaxed

- size of the total moment (μB per cell) = 0.00
- DFT total energy (eV per atom) = -6.1526

```
PmH3O3
1.0
3.338 1.927 4.799
-3.338 1.927 4.799
0.000 -3.855 4.799
Pm H O
2 6 6
direct
0.175 0.175 0.175
0.825 0.825 0.825
0.009 0.742 0.312
0.258 0.688 0.991
0.312 0.009 0.742
0.688 0.991 0.258
0.742 0.312 0.009
0.991 0.258 0.688
0.045 0.132 0.601
0.132 0.601 0.045
0.399 0.955 0.868
0.601 0.045 0.132
0.868 0.399 0.955
0.955 0.868 0.399
```

***

# 2
ScInIr4 | PBE | relaxed

- size of the total moment (μB per cell) = 0.00
- DFT total energy (eV per atom) = -7.7388

```
ScInIr4
1.0
0.000 3.716 3.716
3.716 0.000 3.716
3.716 3.716 0.000
Sc In Ir
1 1 4
direct
0.000 0.000 0.000
0.750 0.750 0.750
0.375 0.375 0.375
0.375 0.375 0.875
0.375 0.875 0.375
0.875 0.375 0.375
```

***

# 3
Pu2CuSe3 | PBE | relaxed

- size of the total moment (μB per cell) = 10.87
- DFT total energy (eV per atom) = -8.2950

```
Pu2CuSe3
1.0
-1.921 2.286 8.035
1.921 -2.286 8.035
1.921 2.286 -8.035
Pu Cu Se
2 1 3
direct
0.144 0.144 0.000
0.856 0.856 0.000
0.500 0.500 0.000
0.000 0.500 0.500
0.327 0.327 0.000
0.673 0.673 0.000
```